one.
Computed, not measured: an optimized crystal structure of PmTlSnPb at the PBE-GGA level of DFT.

```
PmTlSnPb
1.0
4.926 0.000 0.000
0.000 4.756 0.000
0.000 0.000 4.814
Pm Tl Sn Pb
1 1 1 1
Direct
0.500 0.500 0.000 Pm
0.500 0.000 0.500 Tl
0.000 0.000 0.000 Sn
0.000 0.500 0.500 Pb
```

total magnetization: 0.00 μB/atom
D(E_F): 0.44 states/eV per atom
symmetry: Pmmm, No. 47
density: 9.9 Mg/m³



two.
Computed, not measured: an optimized crystal structure of PmTlSnPb at the PBE-GGA level of DFT.

```
PmTlSnPb
1.0
-3.102 3.646 -2.762
-2.584 -1.526 -4.641
-5.501 -0.531 -0.053
Pb Tl Sn Pm
1 1 1 1
Direct
0.000 0.000 0.000 Pb
0.750 0.750 0.750 Tl
0.250 0.250 0.250 Sn
0.500 0.500 0.500 Pm
```

total magnetization: 0.00 μB/atom
D(E_F): 0.67 states/eV per atom
symmetry: F-43m, No. 216
density: 9.4 Mg/m³



Result of the stability comparison: one is the most stable of them.